Record 1
The following is a GGA-PBE calculation of ErTm4N4 after structural relaxation, from Alexandria.

Summary:
Calculated total energy (eV/atom): -7.7950
N(E_F) (states/eV per atom): 0.242

Geometry as POSCAR:
```
ErTm4N4
1.0
-3.834 3.834 2.410
3.834 -3.834 2.410
3.834 3.834 -2.410
Er Tm N
1 4 4
Direct
0.000 0.000 0.000
0.188 0.391 0.580
0.391 0.812 0.203
0.609 0.188 0.797
0.812 0.609 0.420
0.099 0.701 0.800
0.299 0.099 0.398
0.701 0.901 0.602
0.901 0.299 0.200
```

Record 2
The following is a GGA-PBE calculation of NaSmMgIn after structural relaxation, from Alexandria.

Summary:
ΔH_f (0 K) (eV/atom): -0.15
N(E_F) (states/eV per atom): 0.661

Geometry as POSCAR:
```
NaSmMgIn
1.0
0.000 3.723 3.723
3.723 0.000 3.723
3.723 3.723 0.000
Na Sm Mg In
1 1 1 1
Direct
0.000 0.000 0.000
0.250 0.250 0.250
0.750 0.750 0.750
0.500 0.500 0.500
```

Record 3
The following is a GGA-PBE calculation of CoTc2Pt after structural relaxation, from Alexandria.

Summary:
Energy above the lowest structure with this stoichiometry (meV/atom): 0.0
ΔH_f (0 K) (eV/atom): -0.05
N(E_F) (states/eV per atom): 1.080

Geometry as POSCAR:
```
CoTc2Pt
1.0
2.691 0.000 0.000
0.000 3.843 0.000
0.000 0.000 5.379
Co Tc Pt
1 2 1
Direct
0.000 0.000 0.000
0.500 0.500 0.221
0.500 0.500 0.779
0.000 0.000 0.500
```

Record 4
The following is a GGA-PBE calculation of BaIn2WBr after structural relaxation, from Alexandria.

Summary:
Calculated total energy (eV/atom): -4.2130
N(E_F) (states/eV per atom): 1.560

Geometry as POSCAR:
```
BaIn2WBr
1.0
5.331 0.000 0.000
0.000 5.331 0.000
0.000 0.000 5.460
Ba In W Br
1 2 1 1
Direct
0.000 0.000 0.000
0.000 0.500 0.500
0.500 0.000 0.500
0.500 0.500 0.500
0.500 0.500 0.000
```

Record 5
The following is a GGA-PBE calculation of Ag2HgMo after structural relaxation, from Alexandria.

Summary:
ΔH_f (0 K) (eV/atom): 0.53
N(E_F) (states/eV per atom): 0.692

Geometry as POSCAR:
```
Ag2HgMo
1.0
2.854 0.000 0.000
0.000 5.061 0.000
0.000 0.000 5.093
Ag Hg Mo
2 1 1
Direct
0.000 0.000 0.000
0.500 0.500 0.000
0.000 0.500 0.500
0.500 0.000 0.500
```

Record 6
The following is a GGA-PBE calculation of SrHf2S after structural relaxation, from Alexandria.

Summary:
Energy above the lowest structure with this stoichiometry (meV/atom): 539.1
N(E_F) (states/eV per atom): 1.466

Geometry as POSCAR:
```
SrHf2S
1.0
0.000 3.590 3.590
3.590 0.000 3.590
3.590 3.590 0.000
Sr Hf S
1 2 1
Direct
0.000 0.000 0.000
0.250 0.250 0.250
0.750 0.750 0.750
0.500 0.500 0.500
```

Record 7
The following is a GGA-PBE calculation of Hf2NbW after structural relaxation, from Alexandria.

Summary:
Energy above the lowest structure with this stoichiometry (meV/atom): 602.7
ΔH_f (0 K) (eV/atom): 0.73
N(E_F) (states/eV per atom): 1.346

Geometry as POSCAR:
```
Hf2NbW
1.0
-3.772 3.772 2.866
3.772 -3.772 2.866
3.772 3.772 -2.866
Hf Nb W
4 2 2
Direct
0.115 0.625 0.990
0.375 0.365 0.490
0.635 0.125 0.010
0.875 0.885 0.510
0.250 0.750 0.500
0.500 0.500 0.000
0.000 0.000 0.000
0.750 0.250 0.500
```

Record 8
The following is a GGA-PBE calculation of Na2LaH after structural relaxation, from Alexandria.

Summary:
Energy above the lowest structure with this stoichiometry (meV/atom): 424.2
N(E_F) (states/eV per atom): 0.403

Geometry as POSCAR:
```
Na2LaH
1.0
0.000 3.853 3.853
3.853 0.000 3.853
3.853 3.853 0.000
Na La H
2 1 1
Direct
0.250 0.250 0.250
0.750 0.750 0.750
0.000 0.000 0.000
0.500 0.500 0.500
```